PBE-GGA BeSiBr2, relaxed; symmetry = P4mm (99); excess energy over the best structure of this formula in the dataset = 575 meV/atom
1.0
3.175 0.000 0.000
0.000 3.175 0.000
0.000 0.000 8.559
Be Si Br
1 1 2
Cartesian
0.000 0.000 0.000
1.588 1.588 7.129
0.000 0.000 5.296
1.588 1.588 1.472


PBE-GGA BeSiBr2, relaxed; symmetry = I-4m2 (119); excess energy over the best structure of this formula in the dataset = 931 meV/atom
1.0
3.741 0.000 0.000
0.000 3.741 0.000
0.000 0.000 13.627
Be Si Br
2 2 4
Cartesian
0.000 0.000 0.000
1.871 1.871 6.813
0.000 1.871 3.407
1.871 0.000 10.220
0.000 0.000 6.813
0.000 1.871 10.220
1.871 0.000 3.407
1.871 1.871 0.000


PBE-GGA BeSiBr4, relaxed; symmetry = F-43m (216)
1.0
0.000 4.389 4.389
4.389 0.000 4.389
4.389 4.389 0.000
Be Si Br
1 1 4
Cartesian
0.000 0.000 0.000
2.195 2.195 2.195
5.488 3.290 3.290
3.290 5.488 3.290
3.290 3.290 5.488
5.488 5.488 5.488


| no. | V (Å³ per atom) | formation energy without anion corrections (eV/atom) |
| --- | --- | --- |
| 1 | 21.572 | 0.303 |
| 2 | 23.845 | 0.659 |
| 3 | 28.188 | 1.240 |